26
Lattice="3.606 0.000 0.000 0.000 11.726 0.000 0.000 0.000 20.361" Properties=species:S:1:pos:R:3 comment="Pr2Dy6Y5 (PBE, relaxed)" total_magnetization_mub_per_fu=0.00 formation_energy_ev_per_atom=0.101 volume_a3_per_atom=33.1 sg="Pbam (55)" density_g_cm3=6.562 pbc="T T T"
Pr 0.000 3.866 5.737
Pr 0.000 7.860 14.624
Pr 0.000 9.729 4.444
Pr 0.000 1.997 15.918
Dy 0.000 0.889 7.395
Dy 0.000 10.837 12.967
Dy 0.000 6.753 2.786
Dy 0.000 4.974 17.576
Dy 1.803 3.764 2.566
Dy 1.803 7.963 17.796
Dy 1.803 9.627 7.615
Dy 1.803 2.100 12.746
Dy 0.000 6.591 8.647
Dy 0.000 5.135 11.715
Dy 0.000 0.728 1.534
Dy 0.000 10.999 18.828
Y 1.803 3.524 9.064
Y 1.803 8.203 11.298
Y 1.803 9.387 1.117
Y 1.803 2.339 19.245
Y 1.803 6.922 5.715
Y 1.803 4.805 14.646
Y 1.803 1.059 4.466
Y 1.803 10.668 15.896
Y 1.803 5.863 0.000
Y 1.803 0.000 10.181